Entry 1:
First-principles (PBE) data for crystalline Sr3NbW at its relaxed geometry, as listed in Alexandria via LeMat-Bulk.

Values from the calculation:
The density of states at the Fermi level comes out at 12.8 states/eV/f.u. The distance to the lowest polymorph of the same formula is 0.000 eV/atom.

abc: 5.7724 5.7724 5.7724
angles: 90.00 90.00 90.00
Space group Pm-3m (No. 221)
One atom of each set of equivalent atoms:
Sr1 0.0000 0.0000 0.5000 [3 per cell]
Nb1 0.5000 0.5000 0.5000 [1 per cell]
W1 0.0000 0.0000 0.0000 [1 per cell]



Entry 2:
First-principles (PBE) data for crystalline K2Cl at its relaxed geometry, as listed in Alexandria via LeMat-Bulk.

Values from the calculation:
The density of states at the Fermi level comes out at 1.0 states/eV/f.u. The value obtained for the uncorrected formation energy is -1.202 eV per atom. The distance to the lowest polymorph of the same formula is 0.042 eV/atom.

abc: 15.3969 4.1908 9.0910
angles: 90.00 90.92 90.00
Space group Cm (No. 8)
One atom of each set of equivalent atoms:
K1 0.0000 0.0000 0.0000 [2 per cell]
K2 0.0179 0.5000 0.4921 [2 per cell]
K3 0.2507 0.5000 0.7431 [2 per cell]
K4 0.2722 0.5000 0.2138 [2 per cell]
Cl1 0.1000 0.0000 0.7112 [2 per cell]
Cl2 0.3441 0.0000 0.9612 [2 per cell]



Entry 3:
First-principles (PBE) data for crystalline BaSbTe at its relaxed geometry, as listed in Alexandria via LeMat-Bulk.

Values from the calculation:
The density of states at the Fermi level comes out at 3.7 states/eV/f.u. The value obtained for the uncorrected formation energy is -0.521 eV per atom. The distance to the lowest polymorph of the same formula is 0.238 eV/atom.

abc: 7.9067 7.9067 7.9067
angles: 90.00 90.00 90.00
Space group F-43m (No. 216)
One atom of each set of equivalent atoms:
Ba1 0.0000 0.0000 0.0000 [4 per cell]
Sb1 0.0000 0.0000 0.5000 [4 per cell]
Te1 0.2500 0.2500 0.7500 [4 per cell]



Entry 4:
First-principles (PBE) data for crystalline KBa2Ac at its relaxed geometry, as listed in Alexandria via LeMat-Bulk.

Values from the calculation:
The density of states at the Fermi level comes out at 5.9 states/eV/f.u. The distance to the lowest polymorph of the same formula is 0.001 eV/atom.

abc: 4.2794 4.2794 43.8361
angles: 90.00 90.00 120.00
Space group R-3m (No. 166, hexagonal axes)
One atom of each set of equivalent atoms:
K1 0.0000 0.0000 0.0000 [3 per cell]
Ba1 0.0000 0.0000 0.2434 [6 per cell]
Ac1 0.0000 0.0000 0.5000 [3 per cell]



Entry 5:
First-principles (PBE) data for crystalline MgFeTc2 at its relaxed geometry, as listed in Alexandria via LeMat-Bulk.

Values from the calculation:
The density of states at the Fermi level comes out at 3.4 states/eV/f.u. The calculation puts the calculated total energy at -7.4609 eV per atom.

abc: 6.0575 6.0575 6.0575
angles: 90.00 90.00 90.00
Space group F-43m (No. 216)
One atom of each set of equivalent atoms:
Mg1 0.0000 0.0000 0.0000 [4 per cell]
Fe1 0.2500 0.2500 0.7500 [4 per cell]
Tc1 0.0000 0.0000 0.5000 [4 per cell]
Tc2 0.2500 0.2500 0.2500 [4 per cell]



Entry 6:
First-principles (PBE) data for crystalline Er2MgS at its relaxed geometry, as listed in Alexandria via LeMat-Bulk.

Values from the calculation:
The density of states at the Fermi level comes out at 4.1 states/eV/f.u. The value obtained for the uncorrected formation energy is -0.916 eV per atom. The distance to the lowest polymorph of the same formula is 0.000 eV/atom.

abc: 3.7001 3.7001 25.6206
angles: 90.00 90.00 120.00
Space group R3m (No. 160, hexagonal axes)
One atom of each set of equivalent atoms:
Er1 0.0000 0.0000 0.0000 [3 per cell]
Er2 0.0000 0.0000 0.2069 [3 per cell]
Mg1 0.0000 0.0000 0.7703 [3 per cell]
S1 0.0000 0.0000 0.6029 [3 per cell]



Entry 7:
First-principles (PBE) data for crystalline Pa2GeMo at its relaxed geometry, as listed in Alexandria via LeMat-Bulk.

Values from the calculation:
The density of states at the Fermi level comes out at 5.3 states/eV/f.u. The distance to the lowest polymorph of the same formula is 0.261 eV/atom.

abc: 4.6284 4.6284 14.3676
angles: 90.00 90.00 120.00
Space group R-3m (No. 166, hexagonal axes)
One atom of each set of equivalent atoms:
Pa1 0.0000 0.0000 0.2443 [6 per cell]
Ge1 0.0000 0.0000 0.0000 [3 per cell]
Mo1 0.0000 0.0000 0.5000 [3 per cell]



Entry 8:
First-principles (PBE) data for crystalline Tb6Co2Bi at its relaxed geometry, as listed in Alexandria via LeMat-Bulk.

Values from the calculation:
The density of states at the Fermi level comes out at 6.8 states/eV/f.u. The calculation puts the calculated total energy at -5.3964 eV per atom.

abc: 9.4826 9.8031 10.0981
angles: 90.00 90.00 90.00
Space group Immm (No. 71)
One atom of each set of equivalent atoms:
Tb1 0.0000 0.2113 0.2344 [8 per cell]
Tb2 0.1831 0.5000 0.1762 [8 per cell]
Tb3 0.2142 0.3161 0.5000 [8 per cell]
Co1 0.0000 0.3461 0.0000 [4 per cell]
Co2 0.0000 0.5000 0.3889 [4 per cell]
Bi1 0.0000 0.0000 0.0000 [2 per cell]
Bi2 0.0000 0.0000 0.5000 [2 per cell]